1.
A geometry-optimized ThZrAs2N structure. Source: the Alexandria database, functional PBE.

Values from the calculation:
- Total moment: 0.00 μB/f.u.
- E_form (uncorrected): -1.06 eV/atom

Lattice parameters (Å, degrees): 3.931 3.931 14.261 90.00 90.00 90.00
Space group P4/nmm (No. 129, origin choice 2)
Unique sites:
Th (0.250, 0.250, 0.086)
Zr (0.250, 0.250, 0.593)
As (0.250, 0.250, 0.396)
As (0.250, 0.250, 0.780)
N (0.250, 0.750, 0.000)

---

2.
A geometry-optimized Y3ScCd2 structure. Source: the Alexandria database, functional PBE.

Values from the calculation:
- Total moment: 0.14 μB/f.u.
- E_form: -0.200 eV/atom

Lattice parameters (Å, degrees): 3.649 3.649 12.256 90.00 90.00 90.00
Space group P4/mmm (No. 123)
Unique sites:
Y (0.000, 0.000, 0.000)
Y (0.000, 0.000, 0.324)
Sc (0.500, 0.500, 0.500)
Cd (0.500, 0.500, 0.162)

---

3.
A geometry-optimized NaNbCl3 structure. Source: the Alexandria database, functional PBE.

Values from the calculation:
- Total moment: 0.14 μB/f.u.
- E_form (uncorrected): -1.31 eV/atom

Lattice parameters (Å, degrees): 3.473 7.407 9.065 100.34 90.01 103.52
Space group P-1 (No. 2)
Unique sites:
Na (0.105, 0.209, 0.443)
Nb (0.287, 0.576, 0.118)
Cl (0.122, 0.244, 0.996)
Cl (0.276, 0.552, 0.689)
Cl (0.438, 0.878, 0.329)

---

4.
A geometry-optimized Pu5Bi2P2 structure. Source: the Alexandria database, functional PBE.

Values from the calculation:
- Total moment: 28.01 μB/f.u.
- E_form: -0.677 eV/atom

Lattice parameters (Å, degrees): 15.581 7.884 7.863 90.00 90.00 90.00
Space group Cmce (No. 64)
Unique sites:
Pu (0.000, 0.000, 0.000)
Pu (0.116, 0.149, 0.351)
Bi (0.206, 0.000, 0.000)
P (0.000, 0.153, 0.653)

---

5.
A geometry-optimized Ca6In2HN structure. Source: the Alexandria database, functional PBE.

Values from the calculation:
- Total moment: 0.00 μB/f.u.
- Total energy: -0.2575 Ry/atom

Lattice parameters (Å, degrees): 7.118 7.118 9.830 90.00 90.00 90.00
Space group I4/mmm (No. 139)
Unique sites:
Ca (0.000, 0.000, 0.242)
Ca (0.239, 0.239, 0.000)
In (0.000, 0.500, 0.250)
H (0.000, 0.000, 0.500)
N (0.000, 0.000, 0.000)

---

6.
A geometry-optimized Ac3GaBi2Pd9 structure. Source: the Alexandria database, functional PBE.

Values from the calculation:
- Total moment: 0.00 μB/f.u.
- E_form: -0.475 eV/atom

Lattice parameters (Å, degrees): 7.0044 7.0044 9.0535 90.00 90.00 120.00
Space group P-3m1 (No. 164)
Unique sites:
Ac (0.0000, 0.0000, 0.0000)
Ac (0.3333, 0.6667, 0.7222)
Ga (0.0000, 0.0000, 0.5000)
Bi (0.3333, 0.6667, 0.2056)
Pd (0.0000, 0.5000, 0.0000)
Pd (0.1299, 0.2597, 0.2890)

---

7.
A geometry-optimized Ca3GaAg structure. Source: the Alexandria database, functional PBE.

Values from the calculation:
- Total moment: 0.00 μB/f.u.
- E_form: -0.310 eV/atom

Lattice parameters (Å, degrees): 5.272 20.458 5.264 90.00 90.00 90.00
Space group Cmcm (No. 63)
Unique sites:
Ca (0.000, 0.073, 0.250)
Ca (0.000, 0.249, 0.250)
Ca (0.000, 0.425, 0.250)
Ga (0.000, 0.157, 0.750)
Ag (0.000, 0.340, 0.750)

---

8.
A geometry-optimized LaTaSi2Os structure. Source: the Alexandria database, functional PBE.

Values from the calculation:
- Total moment: 0.00 μB/f.u.
- E_form (uncorrected): -0.59 eV/atom

Lattice parameters (Å, degrees): 4.091 4.091 11.224 90.00 90.00 90.00
Space group I-4m2 (No. 119)
Unique sites:
La (0.000, 0.000, 0.000)
Ta (0.000, 0.500, 0.750)
Si (0.000, 0.000, 0.387)
Os (0.000, 0.500, 0.250)

---

9.
A geometry-optimized BeNbZn3 structure. Source: the Alexandria database, functional PBE.

Values from the calculation:
- Total moment: 0.00 μB/f.u.
- E_form: 1.521 eV/atom

Lattice parameters (Å, degrees): 5.011 5.011 5.011 90.00 90.00 90.00
Space group Pm-3m (No. 221)
Unique sites:
Be (0.000, 0.000, 0.000)
Nb (0.500, 0.500, 0.500)
Zn (0.000, 0.500, 0.500)

---

10.
A geometry-optimized SrCdP2Pb structure. Source: the Alexandria database, functional PBE.

Values from the calculation:
- Total moment: 0.00 μB/f.u.
- E_form: -0.441 eV/atom

Lattice parameters (Å, degrees): 16.044 4.284 9.597 90.00 121.72 90.00
Space group C2/m (No. 12)
Unique sites:
Sr (0.240, 0.000, 0.295)
Cd (0.063, 0.000, 0.427)
P (0.115, 0.500, 0.333)
P (0.140, 0.000, 0.758)
Pb (0.092, 0.500, 0.894)

---

11.
A geometry-optimized BaScH2 structure. Source: the Alexandria database, functional PBE.

Values from the calculation:
- Total moment: 0.00 μB/f.u.
- Total energy: -0.2870 Ry/atom

Lattice parameters (Å, degrees): 5.557 5.557 10.032 90.00 90.00 90.00
Space group I-42d (No. 122)
Unique sites:
Ba (0.000, 0.000, 0.000)
Sc (0.000, 0.000, 0.500)
H (0.150, 0.250, 0.625)

---

12.
A geometry-optimized PrPuInRu structure. Source: the Alexandria database, functional PBE.

Values from the calculation:
- Total moment: 4.58 μB/f.u.
- E_form: -0.202 eV/atom

Lattice parameters (Å, degrees): 3.389 3.389 8.527 90.00 90.00 90.00
Space group P4mm (No. 99)
Unique sites:
Pr (0.000, 0.000, 0.000)
Pu (0.000, 0.000, 0.587)
In (0.500, 0.500, 0.301)
Ru (0.500, 0.500, 0.772)